1.
Crystalline CdHgAu4 at its relaxed geometry, computed with PBE.

Calculated values
Formation energy from the elements = -0.028 eV per atom
Energy above the lowest structure with this stoichiometry = 0 meV per atom
D(E_F) = 2.27 states/eV per cell

Unit cell a=4.8325 b=7.6254 c=7.6254 alpha=24.20 beta=90.00 gamma=90.00
Sites, in units of the cell vectors:
Cd1 0.0000 0.0000 0.0000
Hg1 0.5000 0.7851 0.7851
Au1 0.0000 0.3353 0.3353
Au2 0.0000 0.6662 0.6662
Au3 0.5000 0.1168 0.1168
Au4 0.5000 0.4536 0.4536

***

2.
Crystalline LiGe2W at its relaxed geometry, computed with PBE.

Calculated values
Formation energy from the elements = 0.276 eV per atom
Energy above the lowest structure with this stoichiometry = 263 meV per atom
D(E_F) = 3.98 states/eV per cell

Unit cell a=4.4429 b=4.4429 c=4.4429 alpha=60.00 beta=60.00 gamma=60.00
Sites, in units of the cell vectors:
Li1 0.0000 0.0000 0.0000
Ge1 0.2500 0.2500 0.2500
Ge2 0.7500 0.7500 0.7500
W1 0.5000 0.5000 0.5000

***

- Among the records above, which one has the lowest formation energy from the elements?
  CdHgAu4